# ZrCoBi2O6 (PBE with a Hubbard U, relaxed)
data_ZrCoBi2O6
_chemical_formula_sum 'Zr2 Co2 Bi4 O12'
_space_group_name_H-M_alt 'P 1 21/c 1'
_space_group_IT_number 14
_space_group_name_Hall '-P 2ybc'
_cell_length_a 5.605
_cell_length_b 5.945
_cell_length_c 9.772
_cell_angle_alpha 90.00
_cell_angle_beta 124.44
_cell_angle_gamma 90.00
loop_
_atom_site_label
_atom_site_type_symbol
_atom_site_fract_x
_atom_site_fract_y
_atom_site_fract_z
_atom_site_occupancy
Zr1 Zr 0.000 0.000 0.000 1
Co1 Co 0.500 0.000 0.500 1
Bi1 Bi 0.261 0.048 0.750 1
O1 O 0.132 0.041 0.251 1
O2 O 0.236 0.694 0.057 1
O3 O 0.369 0.186 0.054 1
# - Energy: -137.7 eV per cell
# - Mass density: 8.21 Mg/m³
# - Size of the total moment: 3.0 μB per formula unit
# - N(E_F): 0.000 states/eV/f.u.